Entry 1:
A relaxed ZnGaFe2 crystal, computed with PBE-GGA.

```
data_ZnGaFe2
_chemical_formula_sum 'Zn4 Ga4 Fe8'
_cell_length_a 3.5843
_cell_length_b 3.5843
_cell_length_c 16.0695
_cell_angle_alpha 90.00
_cell_angle_beta 90.00
_cell_angle_gamma 90.00
_space_group_name_H-M_alt 'I 4/m m m'
_space_group_IT_number 139
_space_group_name_Hall '-I 4 2'
loop_
_atom_site_label
_atom_site_type_symbol
_atom_site_fract_x
_atom_site_fract_y
_atom_site_fract_z
Zn1 Zn 0.0000 0.5000 0.2500
Ga1 Ga 0.0000 0.0000 0.1151
Fe1 Fe 0.0000 0.0000 0.3806
Fe2 Fe 0.0000 0.5000 0.0000
```


Entry 2:
A relaxed ZnGa2Fe crystal, computed with PBE-GGA.

```
data_ZnGa2Fe
_chemical_formula_sum 'Zn3 Ga6 Fe3'
_cell_length_a 2.6749
_cell_length_b 2.6749
_cell_length_c 31.9605
_cell_angle_alpha 90.00
_cell_angle_beta 90.00
_cell_angle_gamma 120.00
_space_group_name_H-M_alt 'R -3 m'
_space_group_IT_number 166
_space_group_name_Hall '-R 3 2"'
loop_
_atom_site_label
_atom_site_type_symbol
_atom_site_fract_x
_atom_site_fract_y
_atom_site_fract_z
Zn1 Zn 0.0000 0.0000 0.0000
Ga1 Ga 0.0000 0.0000 0.4214
Fe1 Fe 0.0000 0.0000 0.5000
```


Entry 3:
# Zn3GaFe (PBE-GGA, relaxed)
data_Zn3GaFe
_chemical_formula_sum 'Zn3 Ga1 Fe1'
_cell_length_a 4.6780
_cell_length_b 4.6780
_cell_length_c 4.6780
_cell_angle_alpha 90.00
_cell_angle_beta 90.00
_cell_angle_gamma 90.00
_space_group_name_H-M_alt 'P m -3 m'
_space_group_IT_number 221
_space_group_name_Hall '-P 4 2 3'
loop_
_atom_site_label
_atom_site_type_symbol
_atom_site_fract_x
_atom_site_fract_y
_atom_site_fract_z
Zn1 Zn 0.0000 0.0000 0.5000
Ga1 Ga 0.0000 0.0000 0.0000
Fe1 Fe 0.5000 0.5000 0.5000
# **Polymorph energy (0 for the lowest one)**: 291.8 meV per atom


Entry 4:
A relaxed Zn2GaFe6 crystal, computed with PBE-GGA.

```
data_Zn2GaFe6
_chemical_formula_sum 'Zn4 Ga2 Fe12'
_cell_length_a 4.4416
_cell_length_b 13.0667
_cell_length_c 4.3435
_cell_angle_alpha 90.00
_cell_angle_beta 117.58
_cell_angle_gamma 90.00
_space_group_name_H-M_alt 'C 1 2/m 1'
_space_group_IT_number 12
loop_
_space_group_symop_operation_xyz
'x,y,z'
'-x,-y,-z'
'-x,y,-z'
'x,-y,z'
'x+1/2,y+1/2,z'
'-x+1/2,-y+1/2,-z'
'-x+1/2,y+1/2,-z'
'x+1/2,-y+1/2,z'
loop_
_atom_site_label
_atom_site_type_symbol
_atom_site_fract_x
_atom_site_fract_y
_atom_site_fract_z
Zn1 Zn 0.0000 0.1665 0.0000
Ga1 Ga 0.0000 0.0000 0.5000
Fe1 Fe 0.1533 0.5000 0.8290
Fe2 Fe 0.1595 0.3337 0.3370
```


Entry 5:
# ZnGa2Fe2 (PBE-GGA, relaxed)
data_ZnGa2Fe2
_chemical_formula_sum 'Zn2 Ga4 Fe4'
_cell_length_a 6.7375
_cell_length_b 6.7375
_cell_length_c 2.9964
_cell_angle_alpha 90.00
_cell_angle_beta 90.00
_cell_angle_gamma 90.00
_space_group_name_H-M_alt 'P 4/m b m'
_space_group_IT_number 127
_space_group_name_Hall '-P 4 2ab'
loop_
_atom_site_label
_atom_site_type_symbol
_atom_site_fract_x
_atom_site_fract_y
_atom_site_fract_z
Zn1 Zn 0.0000 0.0000 0.0000
Ga1 Ga 0.1367 0.3633 0.0000
Fe1 Fe 0.1610 0.6610 0.5000
# **Polymorph energy (0 for the lowest one)**: 60.3 meV per atom


Entry 6:
A relaxed ZnGa2Fe6 crystal, computed with PBE-GGA.

```
data_ZnGa2Fe6
_chemical_formula_sum 'Zn2 Ga4 Fe12'
_cell_length_a 4.1347
_cell_length_b 4.9056
_cell_length_c 11.6185
_cell_angle_alpha 90.00
_cell_angle_beta 90.00
_cell_angle_gamma 90.00
_space_group_name_H-M_alt 'I m m m'
_space_group_IT_number 71
_space_group_name_Hall '-I 2 2'
loop_
_atom_site_label
_atom_site_type_symbol
_atom_site_fract_x
_atom_site_fract_y
_atom_site_fract_z
Zn1 Zn 0.0000 0.0000 0.0000
Ga1 Ga 0.0000 0.5000 0.1619
Fe1 Fe 0.0000 0.0000 0.2125
Fe2 Fe 0.0000 0.2589 0.3956
```


Entry 7:
A relaxed ZnGa2Fe5 crystal, computed with PBE-GGA.

```
data_ZnGa2Fe5
_chemical_formula_sum 'Zn2 Ga4 Fe10'
_cell_length_a 5.1888
_cell_length_b 5.1888
_cell_length_c 7.3547
_cell_angle_alpha 90.00
_cell_angle_beta 90.00
_cell_angle_gamma 90.00
_space_group_name_H-M_alt 'I 4/m m m'
_space_group_IT_number 139
_space_group_name_Hall '-I 4 2'
loop_
_atom_site_label
_atom_site_type_symbol
_atom_site_fract_x
_atom_site_fract_y
_atom_site_fract_z
Zn1 Zn 0.0000 0.0000 0.0000
Ga1 Ga 0.0000 0.5000 0.0000
Fe1 Fe 0.0000 0.0000 0.5000
Fe2 Fe 0.2500 0.2500 0.2500
```


Entry 8:
A relaxed Zn2GaFe crystal, computed with PBE-GGA.

```
data_Zn2GaFe
_chemical_formula_sum 'Zn8 Ga4 Fe4'
_cell_length_a 7.0149
_cell_length_b 7.0149
_cell_length_c 4.9822
_cell_angle_alpha 90.00
_cell_angle_beta 90.00
_cell_angle_gamma 90.00
_space_group_name_H-M_alt 'I -4 2 d'
_space_group_IT_number 122
_space_group_name_Hall 'I -4 2bw'
loop_
_atom_site_label
_atom_site_type_symbol
_atom_site_fract_x
_atom_site_fract_y
_atom_site_fract_z
Zn1 Zn 0.2383 0.2500 0.1250
Ga1 Ga 0.0000 0.0000 0.5000
Fe1 Fe 0.0000 0.0000 0.0000
```


Entry 9:
# Zn2GaFe2 (PBE-GGA, relaxed)
data_Zn2GaFe2
_chemical_formula_sum 'Zn4 Ga2 Fe4'
_cell_length_a 6.7970
_cell_length_b 6.7970
_cell_length_c 2.9972
_cell_angle_alpha 90.00
_cell_angle_beta 90.00
_cell_angle_gamma 90.00
_space_group_name_H-M_alt 'P 4/m b m'
_space_group_IT_number 127
_space_group_name_Hall '-P 4 2ab'
loop_
_atom_site_label
_atom_site_type_symbol
_atom_site_fract_x
_atom_site_fract_y
_atom_site_fract_z
Zn1 Zn 0.1307 0.3693 0.0000
Ga1 Ga 0.0000 0.0000 0.0000
Fe1 Fe 0.1666 0.6666 0.5000
# **Polymorph energy (0 for the lowest one)**: 141.2 meV per atom


Entry 10:
A relaxed Zn4GaFe crystal, computed with PBE-GGA.

```
data_Zn4GaFe
_chemical_formula_sum 'Zn16 Ga4 Fe4'
_cell_length_a 7.3605
_cell_length_b 17.5015
_cell_length_c 2.8441
_cell_angle_alpha 90.00
_cell_angle_beta 95.10
_cell_angle_gamma 90.00
_space_group_name_H-M_alt 'C 1 2/c 1'
_space_group_IT_number 15
loop_
_space_group_symop_operation_xyz
'x,y,z'
'-x,-y,-z'
'-x,y,-z+1/2'
'x,-y,z+1/2'
'x+1/2,y+1/2,z'
'-x+1/2,-y+1/2,-z'
'-x+1/2,y+1/2,-z+1/2'
'x+1/2,-y+1/2,z+1/2'
loop_
_atom_site_label
_atom_site_type_symbol
_atom_site_fract_x
_atom_site_fract_y
_atom_site_fract_z
Zn1 Zn 0.1481 0.1872 0.0245
Zn2 Zn 0.1930 0.4375 0.2244
Ga1 Ga 0.0000 0.3248 0.7500
Fe1 Fe 0.0000 0.0559 0.2500
```


Entry 11:
A relaxed ZnGaFe2 crystal, computed with PBE-GGA.

```
data_ZnGaFe2
_chemical_formula_sum 'Zn1 Ga1 Fe2'
_cell_length_a 4.3535
_cell_length_b 4.3535
_cell_length_c 2.6735
_cell_angle_alpha 90.00
_cell_angle_beta 90.00
_cell_angle_gamma 90.00
_space_group_name_H-M_alt 'P 4/m m m'
_space_group_IT_number 123
_space_group_name_Hall '-P 4 2'
loop_
_atom_site_label
_atom_site_type_symbol
_atom_site_fract_x
_atom_site_fract_y
_atom_site_fract_z
Zn1 Zn 0.0000 0.0000 0.0000
Ga1 Ga 0.5000 0.5000 0.0000
Fe1 Fe 0.0000 0.5000 0.5000
```


Entry 12:
A relaxed Zn9GaFe4 crystal, computed with PBE-GGA.

```
data_Zn9GaFe4
_chemical_formula_sum 'Zn18 Ga2 Fe8'
_cell_length_a 7.6958
_cell_length_b 7.6958
_cell_length_c 7.9392
_cell_angle_alpha 90.00
_cell_angle_beta 90.00
_cell_angle_gamma 120.00
_space_group_name_H-M_alt 'P 63/m m c'
_space_group_IT_number 194
_space_group_name_Hall '-P 6c 2c'
loop_
_atom_site_label
_atom_site_type_symbol
_atom_site_fract_x
_atom_site_fract_y
_atom_site_fract_z
Zn1 Zn 0.0953 0.5476 0.2500
Zn2 Zn 0.1924 0.3849 0.5420
Ga1 Ga 0.3333 0.6667 0.7500
Fe1 Fe 0.0000 0.0000 0.0000
Fe2 Fe 0.1085 0.2170 0.2500
```


no.,calculated total energy (eV per atom)
1,-5.35
2,-3.66
3,-2.21
4,-6.25
5,-4.79
6,-6.41
7,-6.29
8,-3.21
9,-4.28
10,-2.67
11,-5.28
12,-3.42